LaAsI2O: optimized geometry, GGA-PBE.

As for the polymorph energy (0 for the lowest one): 263 meV/atom. The total magnetization is 0.05 μB/atom. The calculation puts the uncorrected formation energy at -0.59 eV per atom.

Lattice parameters (Å, degrees): 6.024 6.024 3.880 90.00 90.00 90.00
Positions (direct):
La1 0.000 0.000 0.000
As1 0.500 0.500 0.500
I1 0.000 0.500 0.500
I2 0.500 0.000 0.500
O1 0.500 0.500 0.000

---

BaFe2I8: optimized geometry, GGA-PBE.

The total magnetization is 0.91 μB/atom. The calculation puts the uncorrected formation energy at -0.59 eV per atom.

Lattice parameters (Å, degrees): 9.320 9.320 7.431 98.03 98.03 76.57
Positions (direct):
Ba1 0.000 0.000 0.000
Fe1 0.204 0.204 0.662
Fe2 0.796 0.796 0.338
I1 0.065 0.700 0.254
I2 0.209 0.209 0.317
I3 0.300 0.935 0.746
I4 0.368 0.368 0.828
I5 0.632 0.632 0.172
I6 0.700 0.065 0.254
I7 0.791 0.791 0.683
I8 0.935 0.300 0.746

---

Mn3CdI: optimized geometry, GGA-PBE.

As for the polymorph energy (0 for the lowest one): 0 meV/atom. The total magnetization is 2.80 μB/atom. The calculation puts the uncorrected formation energy at 1.02 eV per atom.

Lattice parameters (Å, degrees): 5.228 5.228 5.228 90.00 90.00 90.00
Positions (direct):
Mn1 0.000 0.000 0.500
Mn2 0.000 0.500 0.000
Mn3 0.500 0.000 0.000
Cd1 0.000 0.000 0.000
I1 0.500 0.500 0.500

---

LiZr4Pd5: optimized geometry, GGA-PBE.

For the formation energy, the calculation gives -5.8 eV per formula unit. The total magnetization is 0.00 μB/atom.

Lattice parameters (Å, degrees): 3.212 3.212 17.253 90.00 90.00 90.00
Positions (direct):
Li1 0.000 0.000 0.000
Zr1 0.000 0.000 0.182
Zr2 0.000 0.000 0.394
Zr3 0.000 0.000 0.606
Zr4 0.000 0.000 0.818
Pd1 0.500 0.500 0.083
Pd2 0.500 0.500 0.288
Pd3 0.500 0.500 0.500
Pd4 0.500 0.500 0.712
Pd5 0.500 0.500 0.917

---

KBi2H2: optimized geometry, GGA-PBE.

The value obtained for the final energy is -15.25 eV/cell. The total magnetization is 0.00 μB/atom.

Lattice parameters (Å, degrees): 4.832 5.088 6.701 110.76 109.82 93.03
Positions (direct):
K1 0.000 0.000 0.000
Bi1 0.239 0.737 0.476
Bi2 0.761 0.263 0.524
H1 0.398 0.893 0.794
H2 0.602 0.107 0.206

---

Hf5HgBi: optimized geometry, GGA-PBE.

For the formation energy, the calculation gives 1.3 eV per formula unit. The total magnetization is 0.00 μB/atom.

Lattice parameters (Å, degrees): 7.971 7.971 5.947 110.42 110.42 82.64
Positions (direct):
Hf1 0.019 0.981 0.750
Hf2 0.132 0.351 0.990
Hf3 0.246 0.751 0.019
Hf4 0.249 0.754 0.481
Hf5 0.351 0.132 0.490
Hf6 0.649 0.868 0.510
Hf7 0.751 0.246 0.519
Hf8 0.754 0.249 0.981
Hf9 0.868 0.649 0.010
Hf10 0.981 0.019 0.250
Hg1 0.490 0.510 0.750
Hg2 0.510 0.490 0.250
Bi1 0.000 0.500 0.500
Bi2 0.500 0.000 0.000

---

YNpTe3Pd: optimized geometry, GGA-PBE.

The total magnetization is 0.66 μB/atom. The calculation puts the uncorrected formation energy at -0.93 eV per atom.

Lattice parameters (Å, degrees): 8.316 4.202 9.918 90.00 100.73 90.00
Positions (direct):
Y1 0.175 0.250 0.180
Y2 0.825 0.750 0.820
Np1 0.323 0.750 0.720
Np2 0.677 0.250 0.280
Te1 0.099 0.250 0.851
Te2 0.229 0.250 0.486
Te3 0.423 0.750 0.134
Te4 0.577 0.250 0.866
Te5 0.771 0.750 0.514
Te6 0.901 0.750 0.149
Pd1 0.415 0.750 0.408
Pd2 0.585 0.250 0.592

---

Tm3ThSc: optimized geometry, GGA-PBE.

As for the polymorph energy (0 for the lowest one): 45 meV/atom. For the formation energy, the calculation gives 0.5 eV per formula unit. The total magnetization is 0.00 μB/atom.

Lattice parameters (Å, degrees): 3.435 8.186 11.095 73.27 89.96 89.98
Positions (direct):
Tm1 0.249 0.021 0.246
Tm2 0.249 0.579 0.326
Tm3 0.250 0.611 0.872
Tm4 0.750 0.389 0.128
Tm5 0.751 0.421 0.674
Tm6 0.751 0.979 0.754
Th1 0.251 0.804 0.546
Th2 0.749 0.196 0.454
Sc1 0.250 0.182 0.939
Sc2 0.750 0.818 0.061